(1)
Density functional theory data (GGA-PBE) for a relaxed Li2Ac3Pd3 crystal.

abc: 4.217 6.807 15.041
angles: 90.00 90.00 108.04
Fractional positions:
Li 0.774 0.549 0.931
Li 0.226 0.451 0.431
Li 0.774 0.549 0.569
Li 0.226 0.451 0.069
Ac 0.930 0.859 0.388
Ac 0.070 0.141 0.888
Ac 0.930 0.859 0.112
Ac 0.070 0.141 0.612
Ac 0.654 0.308 0.250
Ac 0.346 0.692 0.750
Pd 0.600 0.199 0.453
Pd 0.400 0.801 0.953
Pd 0.600 0.199 0.047
Pd 0.400 0.801 0.547
Pd 0.335 0.669 0.250
Pd 0.665 0.331 0.750

Output
energy of formation from the pure elements = -608 meV per atom
symmetry = No. 63
total energy = -73.20 eV/cell

***

(2)
Density functional theory data (GGA-PBE) for a relaxed Li3AcPd2 crystal.

abc: 4.215 7.990 8.197
angles: 114.58 90.00 105.29
Fractional positions:
Li 0.308 0.616 0.525
Li 0.945 0.890 0.607
Li 0.590 0.180 0.665
Li 0.410 0.820 0.335
Li 0.055 0.110 0.393
Li 0.692 0.384 0.475
Ac 0.857 0.714 0.948
Ac 0.143 0.286 0.052
Pd 0.472 0.945 0.818
Pd 0.528 0.055 0.182
Pd 0.796 0.591 0.279
Pd 0.204 0.409 0.721

Output
energy of formation from the pure elements = -483 meV per atom
symmetry = No. 12
total energy = -46.27 eV/cell

***

(3)
Density functional theory data (GGA-PBE) for a relaxed Li2Ac3Pd5 crystal.

abc: 3.934 10.475 10.475
angles: 90.00 90.00 90.00
Fractional positions:
Li 0.000 0.117 0.617
Li 0.000 0.883 0.383
Li 0.000 0.383 0.117
Li 0.000 0.617 0.883
Ac 0.000 0.324 0.824
Ac 0.000 0.676 0.176
Ac 0.000 0.176 0.324
Ac 0.000 0.824 0.676
Ac 0.000 0.000 0.000
Ac 0.000 0.500 0.500
Pd 0.500 0.227 0.070
Pd 0.500 0.773 0.930
Pd 0.500 0.930 0.227
Pd 0.500 0.070 0.773
Pd 0.500 0.273 0.570
Pd 0.500 0.727 0.430
Pd 0.500 0.570 0.727
Pd 0.500 0.430 0.273
Pd 0.500 0.000 0.500
Pd 0.500 0.500 0.000

Output
energy of formation from the pure elements = -660 meV per atom
symmetry = No. 127
total energy = -97.43 eV/cell

***

(4)
Density functional theory data (GGA-PBE) for a relaxed Li2Ac2Pd3 crystal.

abc: 4.104 6.417 7.077
angles: 110.13 90.00 108.65
Fractional positions:
Li 0.817 0.634 0.685
Li 0.183 0.366 0.315
Ac 0.892 0.784 0.216
Ac 0.108 0.216 0.784
Pd 0.500 0.000 0.000
Pd 0.595 0.189 0.432
Pd 0.405 0.811 0.568

Output
energy of formation from the pure elements = -532 meV per atom
symmetry = No. 12
total energy = -31.35 eV/cell

***

(5)
Density functional theory data (GGA-PBE) for a relaxed Li2AcPd crystal.

abc: 4.194 5.835 8.243
angles: 90.00 90.00 111.12
Fractional positions:
Li 0.172 0.344 0.442
Li 0.828 0.656 0.558
Li 0.828 0.656 0.942
Li 0.172 0.344 0.058
Ac 0.451 0.899 0.250
Ac 0.549 0.101 0.750
Pd 0.736 0.471 0.250
Pd 0.264 0.529 0.750

Output
energy of formation from the pure elements = -359 meV per atom
symmetry = No. 11
total energy = -29.13 eV/cell

***

(6)
Density functional theory data (GGA-PBE) for a relaxed Li2Ac2Pd5 crystal.

abc: 4.587 4.587 8.564
angles: 90.00 90.00 90.00
Fractional positions:
Li 0.500 0.500 0.162
Li 0.500 0.500 0.838
Ac 0.000 0.000 0.000
Ac 0.000 0.000 0.500
Pd 0.500 0.000 0.261
Pd 0.500 0.000 0.739
Pd 0.000 0.500 0.261
Pd 0.000 0.500 0.739
Pd 0.500 0.500 0.500

Output
energy of formation from the pure elements = -607 meV per atom
symmetry = No. 123
total energy = -43.47 eV/cell

***

(7)
Density functional theory data (GGA-PBE) for a relaxed Li2Ac3Pd7 crystal.

abc: 5.633 5.633 9.339
angles: 72.45 72.45 60.00
Fractional positions:
Li 0.666 0.666 0.003
Li 0.334 0.334 0.997
Ac 0.000 0.000 0.000
Ac 0.861 0.861 0.416
Ac 0.139 0.139 0.584
Pd 0.500 0.500 0.500
Pd 0.923 0.420 0.237
Pd 0.420 0.923 0.237
Pd 0.420 0.420 0.237
Pd 0.077 0.580 0.763
Pd 0.580 0.580 0.763
Pd 0.580 0.077 0.763

Output
energy of formation from the pure elements = -695 meV per atom
symmetry = No. 166
total energy = -60.84 eV/cell

***

(8)
Density functional theory data (GGA-PBE) for a relaxed Li2AcPd5 crystal.

abc: 3.946 6.430 6.430
angles: 66.04 72.13 72.13
Fractional positions:
Li 0.768 0.732 0.732
Li 0.232 0.268 0.268
Ac 0.000 0.000 0.000
Pd 0.000 0.500 0.500
Pd 0.643 0.559 0.156
Pd 0.357 0.441 0.844
Pd 0.357 0.844 0.441
Pd 0.643 0.156 0.559

Output
energy of formation from the pure elements = -464 meV per atom
symmetry = No. 71
total energy = -37.61 eV/cell

***

(9)
Density functional theory data (GGA-PBE) for a relaxed Li2AcPd3 crystal.

abc: 3.958 5.635 5.635
angles: 120.00 90.00 90.00
Fractional positions:
Li 0.555 0.667 0.333
Li 0.555 0.333 0.667
Ac 0.556 0.000 0.000
Pd 0.055 0.500 0.500
Pd 0.055 0.500 0.000
Pd 0.055 0.000 0.500

Output
energy of formation from the pure elements = -615 meV per atom
symmetry = No. 183
total energy = -27.20 eV/cell

***

(10)
Density functional theory data (GGA-PBE) for a relaxed Li7Ac3Pd4 crystal.

abc: 4.267 8.571 9.096
angles: 74.04 76.43 75.59
Fractional positions:
Li 0.324 0.851 0.501
Li 0.481 0.240 0.797
Li 0.834 0.408 0.925
Li 0.676 0.149 0.499
Li 0.166 0.592 0.075
Li 0.000 0.000 0.000
Li 0.519 0.760 0.203
Ac 0.303 0.174 0.221
Ac 0.697 0.826 0.779
Ac 0.000 0.500 0.500
Pd 0.660 0.429 0.250
Pd 0.340 0.571 0.750
Pd 0.896 0.895 0.313
Pd 0.104 0.105 0.687

Output
energy of formation from the pure elements = -428 meV per atom
symmetry = No. 12
total energy = -52.48 eV/cell

***

(11)
Density functional theory data (GGA-PBE) for a relaxed Li3Ac2Pd6 crystal.

abc: 4.078 7.624 7.624
angles: 108.18 90.00 90.00
Fractional positions:
Li 0.000 0.180 0.180
Li 0.000 0.820 0.820
Li 0.500 0.000 0.000
Ac 0.000 0.318 0.682
Ac 0.000 0.682 0.318
Pd 0.500 0.354 0.354
Pd 0.500 0.646 0.646
Pd 0.500 0.993 0.323
Pd 0.500 0.007 0.677
Pd 0.500 0.323 0.993
Pd 0.500 0.677 0.007

Output
energy of formation from the pure elements = -525 meV per atom
symmetry = No. 65
total energy = -50.89 eV/cell

***

(12)
Density functional theory data (GGA-PBE) for a relaxed Li2Ac2Pd3 crystal.

abc: 4.227 7.742 10.043
angles: 90.00 102.15 90.00
Fractional positions:
Li 0.693 0.937 0.386
Li 0.307 0.063 0.614
Li 0.307 0.437 0.614
Li 0.693 0.563 0.386
Ac 0.154 0.250 0.309
Ac 0.846 0.750 0.691
Ac 0.944 0.250 0.888
Ac 0.056 0.750 0.112
Pd 0.225 0.750 0.450
Pd 0.775 0.250 0.550
Pd 0.564 0.434 0.128
Pd 0.436 0.566 0.872
Pd 0.436 0.934 0.872
Pd 0.564 0.066 0.128

Output
energy of formation from the pure elements = -610 meV per atom
symmetry = No. 63
total energy = -63.79 eV/cell

***

Q: Which value of total energy does entry 8 give?
A: -37.61 eV/cell